SrHPd2, optimized geometry, DFT PBE; DOS at the Fermi energy = 0.73 states/eV per cell; calculated total energy = -35.17 eV/cell
1.0
-2.822 -4.712 -1.934
2.135 0.913 -5.340
2.930 -4.233 -2.727
Pd H Sr
4 2 2
direct
0.375 0.625 0.250 Pd
0.375 0.625 0.750 Pd
0.375 0.125 0.250 Pd
0.875 0.625 0.750 Pd
0.500 0.500 0.000 H
0.250 0.750 0.500 H
0.000 0.000 0.000 Sr
0.750 0.250 0.500 Sr